No. 1
Compound: SnSe
Source: Alexandria via LeMat-Bulk
Functional: GGA-PBEsol
Structure: optimized geometry

Values from the calculation:
- VASP energy: -4.491 eV/atom

Lattice parameters (Å, degrees): 4.150 4.349 11.409 90.00 90.00 90.00
Positions (direct):
Sn 0.750 0.907 0.882
Se 0.250 0.477 0.857
Sn 0.250 0.407 0.618
Se 0.750 0.977 0.643
Se 0.750 0.523 0.143
Sn 0.750 0.593 0.382
Sn 0.250 0.093 0.118
Se 0.250 0.023 0.357



No. 2
Compound: SnSe
Source: Alexandria via LeMat-Bulk
Functional: GGA-PBEsol
Structure: optimized geometry

Values from the calculation:
- VASP energy: -4.364 eV/atom
- D(E_F): 0.348 states/eV/cell

Lattice parameters (Å, degrees): 3.892 5.781 6.007 90.00 90.00 109.67
Positions (direct):
Sn 0.840 0.679 0.250
Se 0.164 0.328 0.250
Sn 0.160 0.321 0.750
Se 0.836 0.672 0.750



Summary of formation energy (no corrections) in eV per atom
-0.436; -0.309
(order as listed above)